# Ta2MnO6 (PBE+U, relaxed)
data_Ta2MnO6
_chemical_formula_sum 'Ta4 Mn2 O12'
_symmetry_space_group_name_H-M 'C 1 2/m 1'
_symmetry_Int_Tables_number 12
_symmetry_space_group_name_Hall '-C 2y'
_cell_length_a 10.017
_cell_length_b 3.808
_cell_length_c 6.924
_cell_angle_alpha 90.00
_cell_angle_beta 115.85
_cell_angle_gamma 90.00
loop_
_atom_site_label
_atom_site_type_symbol
_atom_site_fract_x
_atom_site_fract_y
_atom_site_fract_z
Ta1 Ta 0.180 0.000 0.136
Mn1 Mn 0.000 0.000 0.500
O1 O 0.016 0.000 0.200
O2 O 0.155 0.500 0.605
O3 O 0.198 0.500 0.067
# * DOS at the Fermi energy: 0.0000 states/eV per atom
# * raw total energy: -9.364 eV per atom
# * calculated volume: 237.7 Å³/cell
# * energy above the most stable polymorph in this dataset: 4.17 kJ per mole of atoms